Record 1
Mn2FeMoH: relaxed, GGA-PBE.

```
Mn2FeMoH
1.0
3.641 0.000 0.000
0.000 3.641 0.000
0.000 0.000 3.826
Mn Fe Mo H
2 1 1 1
Direct
0.000 0.500 0.000
0.500 0.000 0.000
0.000 0.000 0.500
0.500 0.500 0.500
0.500 0.500 0.000
```

Results
The density of states at the Fermi level is 4.1 states/eV per cell. The value obtained for the energy is -8.085 eV per atom.



Record 2
MnFeMo2H: relaxed, GGA-PBE.

```
MnFeMo2H
1.0
3.909 0.000 0.000
0.000 3.909 0.000
0.000 0.000 3.676
Mn Fe Mo H
1 1 2 1
Direct
0.000 0.000 0.000
0.500 0.500 0.000
0.000 0.500 0.500
0.500 0.000 0.500
0.000 0.000 0.500
```

Results
The density of states at the Fermi level is 3.5 states/eV per cell. The value obtained for the energy is -8.380 eV per atom.